Entry from the Alexandria database: a relaxed V4Ga4Ge crystal (GGA-PBE).

The formation energy comes out at 55 meV per atom. Its crystal system is tetragonal. Its density of states at the Fermi level is 0.828 states/eV per atom.

The space group is I4/m (No. 87) and the conventional cell measures 7.5262, 7.5262 and 4.8939 Å, with angles of 90.00, 90.00 and 90.00 degrees. Symmetry generates all atoms from V at (0.0443, 0.6521, 0.0000), Ga at (0.1116, 0.7869, 0.5000) and Ge at (0.0000, 0.0000, 0.0000).